1.
Here is an optimized crystal structure of Rb3Cr from Alexandria. Energies are from GGA-PBE.

Its crystal system is hexagonal. For the final energy, the calculation gives -2.46 eV/atom. The calculation puts the polymorph energy (0 for the lowest one) at 0 meV/atom. Its spin magnetization is 10.8 Bohr magnetons per cell.

It has space group P6_3/mmc (No. 194), with a = 9.0353 Å, b = 9.0353 Å, c = 6.7870 Å, α = 90.00°, β = 90.00° and γ = 120.00°. The distinct sites, in fractional coordinates, are Rb at (0.1790, 0.3580, 0.2500) and Cr at (0.3333, 0.6667, 0.7500).


2.
Here is an optimized crystal structure of Mn2ZnOs from Alexandria. Energies are from GGA-PBE.

Its crystal system is orthorhombic. For the final energy, the calculation gives -7.61 eV/atom. Its spin magnetization is 9.1 Bohr magnetons per cell.

It has space group Cmmm (No. 65), with a = 5.2838 Å, b = 7.3266 Å, c = 2.7083 Å, α = 90.00°, β = 90.00° and γ = 90.00°. The distinct sites, in fractional coordinates, are Mn at (0.2500, 0.2500, 0.0000), Zn at (0.0000, 0.0000, 0.5000) and Os at (0.0000, 0.5000, 0.5000).


3.
Here is an optimized crystal structure of HfAuS2Cl from Alexandria. Energies are from GGA-PBE.

Its crystal system is tetragonal. For the final energy, the calculation gives -5.16 eV/atom. The calculation puts the polymorph energy (0 for the lowest one) at 0 meV/atom. Its spin magnetization is 0.0 Bohr magnetons per cell. The calculation puts the raw formation energy at -48 kJ per mole of atoms.

It has space group P4/mmm (No. 123), with a = 4.9550 Å, b = 4.9550 Å, c = 4.9131 Å, α = 90.00°, β = 90.00° and γ = 90.00°. The distinct sites, in fractional coordinates, are Hf at (0.0000, 0.0000, 0.0000), Au at (0.5000, 0.5000, 0.5000), S at (0.0000, 0.5000, 0.0000) and Cl at (0.0000, 0.0000, 0.5000).


4.
Here is an optimized crystal structure of Ac4Se5 from Alexandria. Energies are from GGA-PBE.

Its crystal system is orthorhombic. For the final energy, the calculation gives -5.26 eV/atom. Its spin magnetization is 0.0 Bohr magnetons per cell. The calculation puts the raw formation energy at -144 kJ per mole of atoms.

It has space group Immm (No. 71), with a = 4.0390 Å, b = 9.5016 Å, c = 14.9298 Å, α = 90.00°, β = 90.00° and γ = 90.00°. The distinct sites, in fractional coordinates, are Ac at (0.0000, 0.2125, 0.1298), Se at (0.0000, 0.1498, 0.5000), Se at (0.0000, 0.5000, 0.2512) and Se at (0.0000, 0.5000, 0.5000).